Li3HfH6 | PBE-GGA | optimized geometry

The energy is -3.89 eV/atom.

The space group is Pnnm (No. 58) and the conventional cell measures 5.015, 10.334 and 3.318 Å, with angles of 90.00, 90.00 and 90.00 degrees. The asymmetric unit holds Li at (0.000, 0.000, 0.000), Li at (0.069, 0.248, 0.500), Hf at (0.000, 0.500, 0.000), H at (0.063, 0.696, 0.000), H at (0.138, 0.909, 0.500) and H at (0.175, 0.566, 0.500).